(1)
Density functional theory data (PBE-GGA) for a relaxed structure of Pm3Th2NbN6.

Values from the calculation:
Its volume is 15.738 A^3/atom.

The structure in POSCAR format:
```
Pm3Th2NbN6
1.0
-5.851 1.804 -0.393
1.323 -5.810 1.459
1.563 2.752 5.259
N Th Pm Nb
6 2 3 1
Cartesian
0.113 1.148 4.279 N
-1.143 -2.139 5.194 N
-3.394 0.251 4.613 N
-1.822 0.884 1.131 N
0.429 -1.505 1.712 N
-3.078 -2.402 2.046 N
-3.459 -0.735 0.224 Th
-1.069 -3.272 0.841 Th
-3.903 1.942 2.537 Pm
-1.482 -0.627 3.163 Pm
0.938 -3.196 3.788 Pm
0.000 0.000 0.000 Nb
```

***

(2)
Density functional theory data (PBE-GGA) for a relaxed structure of PmTiNbN3.

Values from the calculation:
Its volume is 13.971 A^3/atom.

The structure in POSCAR format:
```
PmTiNbN3
1.0
3.325 0.000 0.000
0.000 6.790 0.323
0.000 -2.289 7.318
Pm Nb N Ti
2 2 6 2
Cartesian
2.493 3.661 6.120 Pm
0.831 0.840 1.521 Pm
2.493 0.484 6.549 Nb
0.831 4.017 1.091 Nb
2.493 5.644 1.271 N
2.493 2.617 1.397 N
0.831 -1.142 6.369 N
0.831 1.884 6.244 N
0.831 4.342 3.914 N
2.493 0.160 3.726 N
2.493 5.031 3.151 Ti
0.831 -0.529 4.490 Ti
```

***

(3)
Density functional theory data (PBE-GGA) for a relaxed structure of Pm2TiNbN5.

Values from the calculation:
Its volume is 13.109 A^3/atom.

The structure in POSCAR format:
```
Pm2TiNbN5
1.0
3.341 0.000 0.000
-1.670 6.732 0.000
0.000 0.000 10.493
Pm N Ti Nb
4 10 2 2
Cartesian
1.670 4.861 8.294 Pm
0.000 1.423 7.242 Pm
0.000 1.871 3.048 Pm
1.670 5.309 1.996 Pm
1.670 2.970 1.579 N
1.670 5.997 5.755 N
1.670 1.760 5.227 N
0.000 3.762 6.825 N
1.670 0.041 3.003 N
0.000 0.735 0.508 N
0.000 4.206 4.083 N
0.000 6.691 8.249 N
1.670 2.526 9.330 N
0.000 4.972 10.473 N
1.670 0.363 10.102 Ti
0.000 6.369 4.855 Ti
1.670 3.768 5.332 Nb
0.000 2.964 0.086 Nb
```

***

(4)
Density functional theory data (PBE-GGA) for a relaxed structure of Pm2TmNbN4.

Values from the calculation:
Its volume is 14.068 A^3/atom.

The structure in POSCAR format:
```
Pm2TmNbN4
1.0
3.394 0.000 0.000
0.000 5.881 0.116
0.000 -2.045 5.597
Nb Tm N Pm
1 1 4 2
Cartesian
0.000 0.000 0.000 Nb
1.697 2.941 0.058 Tm
0.000 3.996 1.328 N
1.697 2.933 4.462 N
1.697 0.903 1.251 N
0.000 -0.159 4.385 N
0.000 1.918 2.856 Pm
1.697 -1.023 2.799 Pm
```

***

Short version: electronic total energy = -105.71; -108.83; -161.53; -68.59 eV per cell, in the order given.